Entry 1:
Here is an optimized crystal structure of Ce2TeSe2 from Alexandria via LeMat-Bulk. Energies are from PBE.

a b c (Å): 4.4434 5.8013 7.9110
angles (deg): 111.51 106.31 90.00
Site moments in Bohr magnetons follow the coordinates.
Atoms (fractional coordinates):
Ce1 0.6624 0.1624 0.3247  0.94
Ce2 0.3376 0.8376 0.6753  0.94
Te1 0.0000 0.0000 0.0000  -0.03
Se1 0.3010 0.3010 0.6019  -0.03
Se2 0.6990 0.6990 0.3981  -0.03

Properties
Density of states at the Fermi level = 14.10 states/eV per cell
Calculated volume = 180.9 Å³ per cell
Density = 5.19 Mg/m³
E_form (uncorrected) = -157 kJ/mol of atoms

***

Entry 2:
Here is an optimized crystal structure of CeThTeSe2 from Alexandria via LeMat-Bulk. Energies are from PBE.

a b c (Å): 4.6904 4.6904 7.7910
angles (deg): 107.52 107.52 90.00
Site moments in Bohr magnetons follow the coordinates.
Atoms (fractional coordinates):
Ce1 0.8705 0.8705 0.7411  1.16
Th1 0.1284 0.1284 0.2567  0.34
Te1 0.5059 0.5059 0.0118  -0.03
Se1 0.7476 0.2476 0.4952  -0.02
Se2 0.2476 0.7476 0.4952  -0.02

Properties
Density of states at the Fermi level = 7.98 states/eV per cell
Calculated volume = 155.1 Å³ per cell
Density = 7.04 Mg/m³
E_form (uncorrected) = -125 kJ/mol of atoms

***

Entry 3:
Here is an optimized crystal structure of Ce2ThTe2Se2 from Alexandria via LeMat-Bulk. Energies are from PBE.

a b c (Å): 5.5522 5.5522 8.8971
angles (deg): 108.18 108.18 90.00
Site moments in Bohr magnetons follow the coordinates.
Atoms (fractional coordinates):
Ce1 0.3877 0.3877 0.7755  1.34
Ce2 0.6123 0.6123 0.2245  1.34
Th1 0.0000 0.0000 0.0000  0.14
Te1 0.1910 0.1910 0.3820  -0.02
Te2 0.8090 0.8090 0.6180  -0.02
Se1 0.0000 0.5000 0.0000  -0.01
Se2 0.5000 0.0000 0.0000  -0.01

Properties
Density of states at the Fermi level = 14.93 states/eV per cell
Calculated volume = 246.1 Å³ per cell
Density = 6.24 Mg/m³
E_form (uncorrected) = -115 kJ/mol of atoms

***

Entry 4:
Here is an optimized crystal structure of Ce2Tl3TeSe6 from Alexandria via LeMat-Bulk. Energies are from PBE.

a b c (Å): 7.4371 7.4371 8.4470
angles (deg): 102.20 102.20 116.58
Site moments in Bohr magnetons follow the coordinates.
Atoms (fractional coordinates):
Ce1 0.3368 0.6632 0.0000  0.59
Ce2 0.6632 0.3368 0.0000  0.59
Tl1 0.1651 0.8349 0.5000  0.00
Tl2 0.8349 0.1651 0.5000  0.00
Tl3 0.5000 0.5000 0.5000  -0.01
Te1 0.0000 0.0000 0.0000  -0.02
Se1 0.9215 0.5912 0.8055  -0.02
Se2 0.6959 0.6959 0.2432  -0.03
Se3 0.0785 0.4088 0.1945  -0.02
Se4 0.5912 0.9215 0.8055  -0.02
Se5 0.3041 0.3041 0.7568  -0.03
Se6 0.4088 0.0785 0.1945  -0.02

Properties
Density of states at the Fermi level = 8.39 states/eV per cell
Calculated volume = 382.6 Å³ per cell
Density = 6.49 Mg/m³
E_form (uncorrected) = -88 kJ/mol of atoms

***

Entry 5:
Here is an optimized crystal structure of CeTmTeSe2 from Alexandria via LeMat-Bulk. Energies are from PBE.

a b c (Å): 4.6218 4.6218 7.7198
angles (deg): 107.42 107.42 90.00
Site moments in Bohr magnetons follow the coordinates.
Atoms (fractional coordinates):
Ce1 0.1292 0.1292 0.2584  0.85
Tm1 0.8597 0.8597 0.7193  0.09
Te1 0.5033 0.5033 0.0065  -0.03
Se1 0.7539 0.2539 0.5079  -0.03
Se2 0.2539 0.7539 0.5079  -0.03

Properties
Density of states at the Fermi level = 6.48 states/eV per cell
Calculated volume = 149.4 Å³ per cell
Density = 6.61 Mg/m³
E_form (uncorrected) = -127 kJ/mol of atoms

***

Entry 6:
Here is an optimized crystal structure of Ce2TmTe2Se2 from Alexandria via LeMat-Bulk. Energies are from PBE.

a b c (Å): 5.2601 5.2601 8.8675
angles (deg): 107.25 107.25 90.00
Site moments in Bohr magnetons follow the coordinates.
Atoms (fractional coordinates):
Ce1 0.3809 0.3809 0.7619  1.24
Ce2 0.6191 0.6191 0.2381  1.24
Tm1 0.0000 0.0000 0.0000  0.04
Te1 0.1848 0.1848 0.3696  -0.02
Te2 0.8152 0.8152 0.6304  -0.02
Se1 0.0000 0.5000 0.0000  -0.01
Se2 0.5000 0.0000 0.0000  -0.01

Properties
Density of states at the Fermi level = 15.20 states/eV per cell
Calculated volume = 222.7 Å³ per cell
Density = 6.43 Mg/m³
E_form (uncorrected) = -133 kJ/mol of atoms

***

Q: What is the calculated volume in the third record?
A: 246.1 Å³ per cell

***

Q: Number 6 is which compound?
A: Ce2TmTe2Se2

***

Q: What is the formula in the third record?
A: Ce2ThTe2Se2